Density functional theory data (GGA-PBE) for a relaxed Mg3Pa3IrN8 crystal.

Results
Space-group type   No. 166
ΔE_f (raw)   -942.4 meV per atom

```
Mg3Pa3IrN8
1.0
6.694 0.000 0.000
-3.347 5.797 -0.021
0.000 -3.846 5.237
N Pa Mg Ir
8 3 3 1
direct
0.763 0.008 0.271 N
0.751 0.502 0.752 N
0.244 0.008 0.271 N
0.237 0.992 0.729 N
0.249 0.498 0.248 N
0.237 0.473 0.729 N
0.756 0.992 0.729 N
0.763 0.527 0.271 N
0.500 0.500 0.500 Pa
0.000 0.500 0.500 Pa
0.500 0.000 0.500 Pa
0.500 0.500 0.000 Mg
0.000 0.000 0.000 Mg
0.000 0.500 0.000 Mg
0.000 0.000 0.500 Ir
```

***

Density functional theory data (GGA-PBE) for a relaxed RbMg2IrN crystal.

Results
N(E_F)   2.761 states/eV per cell
Space-group type   No. 123
ΔE_f (raw)   2639.6 meV per atom

```
RbMg2IrN
1.0
-1.390 -1.092 -6.355
-4.840 -0.703 1.180
-1.144 6.440 -0.856
Rb N Mg Ir
1 1 2 1
direct
0.000 0.000 0.000 Rb
0.500 0.500 0.500 N
0.500 0.000 0.000 Mg
0.000 0.000 0.500 Mg
0.000 0.500 0.000 Ir
```

***

Density functional theory data (GGA-PBE) for a relaxed MgIrSN2 crystal.

Results
N(E_F)   2.321 states/eV per cell
Excess energy over the best structure of this formula in the dataset   0.00 eV per formula unit
Space-group type   No. 123
ΔE_f (raw)   334.1 meV per atom

```
MgIrSN2
1.0
3.757 0.000 0.000
0.000 3.757 0.000
0.000 0.000 5.511
N Ir Mg S
2 1 1 1
direct
0.000 0.500 0.000 N
0.500 0.000 0.000 N
0.000 0.000 0.000 Ir
0.500 0.500 0.500 Mg
0.000 0.000 0.500 S
```

***

Density functional theory data (GGA-PBE) for a relaxed MgIrSN2 crystal.

Results
N(E_F)   5.198 states/eV per cell
Excess energy over the best structure of this formula in the dataset   7.36 eV per formula unit
Space-group type   No. 123
ΔE_f (raw)   1805.7 meV per atom

```
MgIrSN2
1.0
-0.985 3.471 1.288
-2.865 0.129 -2.539
-2.945 -2.030 3.219
N Ir Mg S
2 1 1 1
direct
0.500 0.000 0.000 N
0.000 0.500 0.000 N
0.500 0.500 0.500 Ir
0.000 0.000 0.000 Mg
0.000 0.000 0.500 S
```

***

Density functional theory data (GGA-PBE) for a relaxed MgSc2IrN crystal.

Results
N(E_F)   3.412 states/eV per cell
Space-group type   No. 123
ΔE_f (raw)   -921.1 meV per atom

```
MgSc2IrN
1.0
4.368 0.000 0.000
0.000 4.368 0.000
0.000 0.000 4.110
N Mg Ir Sc
1 1 1 2
direct
0.000 0.000 0.000 N
0.000 0.000 0.500 Mg
0.500 0.500 0.500 Ir
0.500 0.000 0.000 Sc
0.000 0.500 0.000 Sc
```

***

Density functional theory data (GGA-PBE) for a relaxed MgIrSeN2 crystal.

Results
N(E_F)   4.813 states/eV per cell
Excess energy over the best structure of this formula in the dataset   6.92 eV per formula unit
Space-group type   No. 123
ΔE_f (raw)   1758.0 meV per atom

```
MgIrSeN2
1.0
-0.626 3.690 0.926
-3.727 -0.782 0.598
1.047 -1.099 5.086
Se N Ir Mg
1 2 1 1
direct
0.000 0.000 0.500 Se
0.000 0.500 0.000 N
0.500 0.000 0.000 N
0.500 0.500 0.500 Ir
0.000 0.000 0.000 Mg
```

***

Density functional theory data (GGA-PBE) for a relaxed MgIrSeN2 crystal.

Results
N(E_F)   2.227 states/eV per cell
Excess energy over the best structure of this formula in the dataset   0.00 eV per formula unit
Space-group type   No. 123
ΔE_f (raw)   373.8 meV per atom

```
MgIrSeN2
1.0
3.794 0.000 0.000
0.000 3.794 0.000
0.000 0.000 5.677
N Mg Ir Se
2 1 1 1
direct
0.500 0.000 0.000 N
0.000 0.500 0.000 N
0.500 0.500 0.500 Mg
0.000 0.000 0.000 Ir
0.000 0.000 0.500 Se
```

***

Density functional theory data (GGA-PBE) for a relaxed Sr2MgIrN crystal.

Results
N(E_F)   2.261 states/eV per cell
Space-group type   No. 123
ΔE_f (raw)   -367.8 meV per atom

```
Sr2MgIrN
1.0
-2.201 -0.440 -5.069
-4.922 -1.217 2.243
-0.893 3.728 0.064
N Mg Sr Ir
1 1 2 1
direct
0.000 0.000 0.000 N
0.500 0.500 0.500 Mg
0.500 0.000 0.000 Sr
0.000 0.500 0.000 Sr
0.000 0.000 0.500 Ir
```

***

- What is the ΔE_f (raw) in the first record?
  -942.4 meV per atom